1.
Below is an optimized crystal structure of Tb3As2O, with properties calculated at the GGA-PBE level.

a b c (Å): 12.3138 5.7753 7.8092
angles (deg): 90.00 108.17 90.00
Last column: nearest neighbours and their distance in Å.
Space group C2/c (No. 15)
Symmetry-distinct sites (fractional):
Tb (0.0000, 0.0564, 0.2500)  1 O 2.26
Tb (0.1503, 0.4972, 0.5783)  2 O 2.62-2.67, 4 As 2.84-2.91
As (0.1728, 0.0015, 0.0854)  6 Tb 2.83-2.91
O (0.0000, 0.4472, 0.2500)  1 Tb 2.26

Calculated values
* crystal system: monoclinic

2.
Below is an optimized crystal structure of TbTl3As2O8, with properties calculated at the GGA-PBE level.

a b c (Å): 5.9918 5.9918 8.0222
angles (deg): 90.00 90.00 120.00
Last column: nearest neighbours and their distance in Å.
Space group P-3m1 (No. 164)
Symmetry-distinct sites (fractional):
Tb (0.0000, 0.0000, 0.0000)  6 O 2.28
Tl (0.0000, 0.0000, 0.5000)  12 O 3.24-3.48
Tl (0.3333, 0.6667, 0.2343)  1 O 2.50
As (0.3333, 0.6667, 0.7561)  4 O 1.69-1.74
O (0.1768, 0.3536, 0.8323)  1 As 1.74
O (0.3333, 0.6667, 0.5458)  1 As 1.69

Calculated values
* crystal system: trigonal

3.
Below is an optimized crystal structure of TbTl3As2O6, with properties calculated at the GGA-PBE level.

a b c (Å): 6.0275 6.0275 7.3585
angles (deg): 90.00 90.00 120.00
Last column: nearest neighbours and their distance in Å.
Space group P-3m1 (No. 164)
Symmetry-distinct sites (fractional):
Tb (0.0000, 0.0000, 0.0000)  6 O 2.29
Tl (0.0000, 0.0000, 0.5000)  6 O 3.03
Tl (0.3333, 0.6667, 0.1778)  9 O 3.02-3.07
As (0.3333, 0.6667, 0.7104)  3 O 1.80
O (0.1800, 0.3600, 0.8222)  1 As 1.80

Calculated values
* crystal system: trigonal

Summary of VASP energy in eV/atom
-6.536; -5.924; -5.794
(order as listed above)
Summary of DOS(E_F) in states/eV/atom
0.308; 0.000; 0.000
(order as listed above)